Record 1
Compound: ZrAsPtO
Source: OQMD via LeMat-Bulk
Functional: PBE-GGA
Structure: optimized geometry

Output
space group = Pmc2_1, No. 26
ΔE to the lowest computed polymorph = 324 meV/atom

a = 3.5946 Å, b = 7.1417 Å, c = 6.0665 Å
α = 90.00°, β = 90.00°, γ = 90.00°
Sites, in units of the cell vectors:
Zr 0.0000 0.2078 0.0000
Zr 0.0000 0.7922 0.5000
As 0.0000 0.1709 0.4817
As 0.0000 0.8291 0.9817
Pt 0.5000 0.3346 0.6606
Pt 0.5000 0.6654 0.1606
O 0.5000 0.3226 0.0760
O 0.5000 0.6774 0.5760

Record 2
Compound: LiHfHg2
Source: OQMD via LeMat-Bulk
Functional: PBE-GGA
Structure: optimized geometry

Output
space group = F-43m, No. 216

a = 4.7873 Å, b = 4.7873 Å, c = 4.7873 Å
α = 60.00°, β = 60.00°, γ = 60.00°
Sites, in units of the cell vectors:
Li 0.0000 0.0000 0.0000
Hf 0.2500 0.2500 0.2500
Hg 0.5000 0.5000 0.5000
Hg 0.7500 0.7500 0.7500

Record 3
Compound: NaSmPbO4
Source: OQMD via LeMat-Bulk
Functional: PBE-GGA
Structure: optimized geometry

Output
space group = P4/nmm, No. 129

a = 3.7970 Å, b = 3.7970 Å, c = 14.2707 Å
α = 90.00°, β = 90.00°, γ = 90.00°
Sites, in units of the cell vectors:
Na 0.2500 0.2500 0.0677
Na 0.7500 0.7500 0.9323
Sm 0.2500 0.2500 0.4040
Sm 0.7500 0.7500 0.5960
Pb 0.2500 0.2500 0.7699
Pb 0.7500 0.7500 0.2301
O 0.2500 0.2500 0.5606
O 0.2500 0.2500 0.9142
O 0.2500 0.7500 0.2938
O 0.2500 0.7500 0.7062
O 0.7500 0.2500 0.2938
O 0.7500 0.2500 0.7062
O 0.7500 0.7500 0.0858
O 0.7500 0.7500 0.4394

Record 4
Compound: PrErPd
Source: OQMD via LeMat-Bulk
Functional: PBE-GGA
Structure: optimized geometry

Output
space group = F-43m, No. 216
formation energy = -0.4228 eV/atom

a = 4.9486 Å, b = 4.9486 Å, c = 4.9486 Å
α = 60.00°, β = 60.00°, γ = 60.00°
Sites, in units of the cell vectors:
Pr 0.0000 0.0000 0.0000
Er 0.5000 0.5000 0.5000
Pd 0.7500 0.7500 0.7500

Record 5
Compound: Hf2Ta4Co3N3
Source: OQMD via LeMat-Bulk
Functional: PBE-GGA
Structure: optimized geometry

Output
space group = C2/c, No. 15

a = 5.2867 Å, b = 5.2867 Å, c = 13.4422 Å
α = 101.57°, β = 101.57°, γ = 59.87°
Sites, in units of the cell vectors:
Hf 0.0424 0.8765 0.6240
Hf 0.1235 0.9576 0.8760
Hf 0.8765 0.0424 0.1240
Hf 0.9576 0.1235 0.3760
Ta 0.1956 0.3634 0.0928
Ta 0.2999 0.4727 0.4073
Ta 0.3634 0.1956 0.5928
Ta 0.4727 0.2999 0.9073
Ta 0.5273 0.7001 0.0927
Ta 0.6366 0.8044 0.4072
Ta 0.7001 0.5273 0.5927
Ta 0.8044 0.6366 0.9072
Co 0.0857 0.3998 0.7502
Co 0.3998 0.0857 0.2502
Co 0.4262 0.5738 0.2500
Co 0.5738 0.4262 0.7500
Co 0.6002 0.9143 0.7498
Co 0.9143 0.6002 0.2498
N 0.0000 0.5000 0.5000
N 0.1563 0.6876 0.0000
N 0.3124 0.8437 0.5000
N 0.5000 0.0000 0.0000
N 0.6876 0.1563 0.5000
N 0.8437 0.3124 0.0000

Record 6
Compound: MgInCoOs
Source: OQMD via LeMat-Bulk
Functional: PBE-GGA
Structure: optimized geometry

Output
space group = F-43m, No. 216
ΔE to the lowest computed polymorph = 0 meV/atom

a = 4.4447 Å, b = 4.4447 Å, c = 4.4447 Å
α = 60.00°, β = 60.00°, γ = 60.00°
Sites, in units of the cell vectors:
Mg 0.0000 0.0000 0.0000
In 0.5000 0.5000 0.5000
Co 0.7500 0.7500 0.7500
Os 0.2500 0.2500 0.2500

Record 7
Compound: Dy3Er2Lu2Ni2Te2
Source: OQMD via LeMat-Bulk
Functional: PBE-GGA
Structure: optimized geometry

Output
space group = Imm2, No. 44
ΔE to the lowest computed polymorph = 8 meV/atom

a = 9.2627 Å, b = 9.2627 Å, c = 9.2627 Å
α = 156.15°, β = 66.95°, γ = 118.49°
Sites, in units of the cell vectors:
Dy 0.0000 0.0000 0.0000
Dy 0.0844 0.7311 0.3533
Dy 0.3777 0.7311 0.6467
Er 0.0621 0.3774 0.6847
Er 0.6928 0.3774 0.3153
Lu 0.4482 0.5830 0.8652
Lu 0.7178 0.5830 0.1348
Ni 0.3080 0.0698 0.2382
Ni 0.8315 0.0698 0.7618
Te 0.3421 0.3421 0.0000
Te 0.7317 0.2317 0.5000

Record 8
Compound: HfMgGeOs
Source: OQMD via LeMat-Bulk
Functional: PBE-GGA
Structure: optimized geometry

Output
space group = F-43m, No. 216
ΔE to the lowest computed polymorph = 44 meV/atom

a = 4.5766 Å, b = 4.5766 Å, c = 4.5766 Å
α = 60.00°, β = 60.00°, γ = 60.00°
Sites, in units of the cell vectors:
Hf 0.0000 0.0000 0.0000
Mg 0.5000 0.5000 0.5000
Ge 0.7500 0.7500 0.7500
Os 0.2500 0.2500 0.2500

Record 9
Compound: Rb2HfHgBr6
Source: OQMD via LeMat-Bulk
Functional: PBE-GGA
Structure: optimized geometry

Output
space group = R3, No. 146
ΔE to the lowest computed polymorph = 0 meV/atom

a = 7.7025 Å, b = 7.7025 Å, c = 7.7025 Å
α = 68.54°, β = 68.54°, γ = 68.54°
Sites, in units of the cell vectors:
Rb 0.0000 0.0000 0.0000
Rb 0.4473 0.4473 0.4473
Hf 0.7032 0.7032 0.7032
Hg 0.2269 0.2269 0.2269
Br 0.0194 0.8213 0.5238
Br 0.3752 0.6065 0.8650
Br 0.5238 0.0194 0.8213
Br 0.6065 0.8650 0.3752
Br 0.8213 0.5238 0.0194
Br 0.8650 0.3752 0.6065

Record 10
Compound: NaCuTeIrSe2
Source: OQMD via LeMat-Bulk
Functional: PBE-GGA
Structure: optimized geometry

Output
space group = Cmcm, No. 63

a = 7.1946 Å, b = 7.1946 Å, c = 10.0165 Å
α = 90.00°, β = 90.00°, γ = 149.71°
Sites, in units of the cell vectors:
Na 0.2286 0.7714 0.7500
Na 0.7714 0.2286 0.2500
Cu 0.4476 0.5524 0.2500
Cu 0.5524 0.4476 0.7500
Te 0.0798 0.9202 0.2500
Te 0.9202 0.0798 0.7500
Ir 0.0000 0.0000 0.0000
Ir 0.0000 0.0000 0.5000
Se 0.3781 0.6219 0.0341
Se 0.3781 0.6219 0.4659
Se 0.6219 0.3781 0.5341
Se 0.6219 0.3781 0.9659

Record 11
Compound: PrDy2Si4Au4
Source: OQMD via LeMat-Bulk
Functional: PBE-GGA
Structure: optimized geometry

Output
space group = Immm, No. 71

a = 12.9313 Å, b = 12.9313 Å, c = 12.9313 Å
α = 161.35°, β = 161.08°, γ = 26.69°
Sites, in units of the cell vectors:
Pr 0.0000 0.0000 0.0000
Dy 0.3520 0.8520 0.5000
Dy 0.6480 0.1480 0.5000
Si 0.1910 0.6910 0.5000
Si 0.4525 0.4525 0.0000
Si 0.5475 0.5475 0.0000
Si 0.8090 0.3090 0.5000
Au 0.0958 0.5958 0.5000
Au 0.2520 0.2520 0.0000
Au 0.7480 0.7480 0.0000
Au 0.9042 0.4042 0.5000

Record 12
Compound: Pr2NdIn3Pd2Au
Source: OQMD via LeMat-Bulk
Functional: PBE-GGA
Structure: optimized geometry

Output
space group = Amm2, No. 38

a = 4.0724 Å, b = 7.8469 Å, c = 7.8469 Å
α = 119.99°, β = 90.00°, γ = 90.00°
Sites, in units of the cell vectors:
Pr 0.0000 0.2057 0.7943
Pr 0.0000 0.7943 0.2057
Nd 0.0000 0.3831 0.3831
In 0.5000 0.0550 0.0550
In 0.5000 0.5341 0.7935
In 0.5000 0.7935 0.5341
Pd 0.5000 0.1286 0.4605
Pd 0.5000 0.4605 0.1286
Au 0.0000 0.7938 0.7938

Result set for E_tot: -7.101; -3.004; -6.054; -5.261; -10.207; -5.332; -5.171; -7.001; -3.632; -4.340; -5.143; -4.770 eV per atom, one per record in the order listed.